A geometry-optimized Na2Sn3Pd8 structure. Source: Alexandria via LeMat-Bulk, functional GGA-PBE.

a b c (Å): 10.3897 10.3897 10.3897
angles (deg): 30.15 30.15 30.15
Last column: nearest neighbours and their distance in Å.
Fractional positions:
Na1 0.1333 0.1333 0.1333  4 Pd 2.70-2.83
Na2 0.8667 0.8667 0.8667  4 Pd 2.70-2.83
Sn1 0.3105 0.3105 0.3105  10 Pd 2.57-2.85
Sn2 0.5000 0.5000 0.5000  6 Na 3.27, 6 Pd 3.56
Sn3 0.6895 0.6895 0.6895  10 Pd 2.57-2.85
Pd1 0.2202 0.2202 0.7206  4 Pd 2.70, 3 Sn 2.76-2.85, 1 Na 2.83
Pd2 0.2202 0.7206 0.2202  4 Pd 2.70, 3 Sn 2.76-2.85, 1 Na 2.83
Pd3 0.2240 0.2240 0.2240  1 Sn 2.57, 1 Na 2.70
Pd4 0.2794 0.7798 0.7798  4 Pd 2.70, 3 Sn 2.76-2.85, 1 Na 2.83
Pd5 0.7206 0.2202 0.2202  4 Pd 2.70, 3 Sn 2.76-2.85, 1 Na 2.83
Pd6 0.7760 0.7760 0.7760  1 Sn 2.57, 1 Na 2.70
Pd7 0.7798 0.2794 0.7798  4 Pd 2.70, 3 Sn 2.76-2.85, 1 Na 2.83
Pd8 0.7798 0.7798 0.2794  4 Pd 2.70, 3 Sn 2.76-2.85, 1 Na 2.83

Properties
* ΔH_f (0 K): -0.138 eV/atom
* volume: 19.29 A^3/atom
* D(E_F): 5.25 states/eV/cell
* calculated total energy: -58.0 eV for the cell shown